# 1
A relaxed structure of LiNiAu2. Source: the Alexandria database, functional GGA-PBEsol.

Values from the calculation:
The crystal system is orthorhombic. Its calculated formation energy is -268.9 meV/atom.

```
data_LiNiAu2
_cell_length_a 6.021
_cell_length_b 6.197
_cell_length_c 2.954
_cell_angle_alpha 90.00
_cell_angle_beta 90.00
_cell_angle_gamma 90.00
_symmetry_space_group_name_H-M 'C m m m'
_symmetry_Int_Tables_number 65
_symmetry_space_group_name_Hall '-C 2 2'
loop_
_atom_site_label
_atom_site_type_symbol
_atom_site_fract_x
_atom_site_fract_y
_atom_site_fract_z
Li1 Li 0.000 0.000 0.000
Ni1 Ni 0.000 0.500 0.000
Au1 Au 0.250 0.250 0.500
```


# 2
A relaxed structure of LiNiAu. Source: the Alexandria database, functional GGA-PBEsol.

Values from the calculation:
The crystal system is trigonal. Its calculated formation energy is -1.3 meV/atom.

```
data_LiNiAu
_cell_length_a 2.7047
_cell_length_b 2.7047
_cell_length_c 6.4490
_cell_angle_alpha 90.00
_cell_angle_beta 90.00
_cell_angle_gamma 120.00
_symmetry_space_group_name_H-M 'P 3 m 1'
_symmetry_Int_Tables_number 156
loop_
_symmetry_equiv_pos_as_xyz
'x,y,z'
'-y,x-y,z'
'-x+y,-x,z'
'-y,-x,z'
'-x+y,y,z'
'x,x-y,z'
loop_
_atom_site_label
_atom_site_type_symbol
_atom_site_fract_x
_atom_site_fract_y
_atom_site_fract_z
Li1 Li 0.0000 0.0000 0.0000
Ni1 Ni 0.3333 0.6667 0.6898
Au1 Au 0.6667 0.3333 0.3471
```


# 3
A relaxed structure of LiNi2Au. Source: the Alexandria database, functional GGA-PBEsol.

Values from the calculation:
The crystal system is tetragonal. Its calculated formation energy is -50.6 meV/atom.

```
data_LiNi2Au
_cell_length_a 3.707
_cell_length_b 3.707
_cell_length_c 7.080
_cell_angle_alpha 90.00
_cell_angle_beta 90.00
_cell_angle_gamma 90.00
_symmetry_space_group_name_H-M 'I -4 m 2'
_symmetry_Int_Tables_number 119
_symmetry_space_group_name_Hall 'I -4 -2'
loop_
_atom_site_label
_atom_site_type_symbol
_atom_site_fract_x
_atom_site_fract_y
_atom_site_fract_z
Li1 Li 0.000 0.000 0.000
Ni1 Ni 0.000 0.000 0.500
Ni2 Ni 0.000 0.500 0.750
Au1 Au 0.000 0.500 0.250
```


For reference, total magnetic moment by record: 0.0, 0.1, 1.7 Bohr magnetons per cell.